(1)
First-principles (PBE-GGA) data for TcHg3I9 after structural relaxation, as listed in the Alexandria database.

Computed properties:
**Mass density**: 5.3 g/cm3
**E_tot**: -54.290 eV for the cell shown
**Energy relative to the elements, uncorrected**: -0.15 eV per atom
**Magnetization**: 4.0 Bohr magnetons per cell

abc: 11.036 11.036 14.497
angles: 123.54 123.54 57.37
Fractional positions:
Tc 0.223 0.777 0.500
Tc 0.777 0.223 0.000
Hg 0.017 0.214 0.811
Hg 0.214 0.017 0.311
Hg 0.333 0.474 0.705
Hg 0.474 0.333 0.205
Hg 0.690 0.779 0.236
Hg 0.779 0.690 0.736
I 0.077 0.851 0.303
I 0.090 0.114 0.119
I 0.114 0.090 0.619
I 0.188 0.412 0.012
I 0.323 0.745 0.709
I 0.344 0.467 0.384
I 0.412 0.188 0.512
I 0.453 0.731 0.226
I 0.467 0.344 0.884
I 0.484 0.813 0.557
I 0.535 0.996 0.126
I 0.731 0.453 0.726
I 0.742 0.956 0.944
I 0.745 0.323 0.209
I 0.813 0.484 0.057
I 0.851 0.077 0.803
I 0.956 0.742 0.444
I 0.996 0.535 0.626



(2)
First-principles (PBE-GGA) data for TcHg2I after structural relaxation, as listed in the Alexandria database.

Computed properties:
**Mass density**: 10.6 g/cm3
**E_tot**: -8.151 eV for the cell shown
**Distance to the lowest polymorph of the same formula**: 0.252 eV/atom
**Energy relative to the elements, uncorrected**: 1.09 eV per atom
**Magnetization**: 2.1 Bohr magnetons per cell

abc: 5.177 5.177 5.177
angles: 60.00 60.00 60.00
Fractional positions:
Tc 0.000 0.000 0.000
Hg 0.250 0.250 0.250
Hg 0.750 0.750 0.750
I 0.500 0.500 0.500



(3)
First-principles (PBE-GGA) data for TcHg2I after structural relaxation, as listed in the Alexandria database.

Computed properties:
**Mass density**: 8.2 g/cm3
**E_tot**: -18.319 eV for the cell shown
**Distance to the lowest polymorph of the same formula**: 0.000 eV/atom
**Energy relative to the elements, uncorrected**: 0.84 eV per atom
**Magnetization**: 7.2 Bohr magnetons per cell

abc: 10.391 10.391 10.391
angles: 151.50 151.50 40.74
Fractional positions:
Tc 0.000 0.000 0.000
Tc 0.750 0.250 0.500
Hg 0.010 0.625 0.885
Hg 0.375 0.260 0.385
Hg 0.740 0.125 0.115
Hg 0.875 0.990 0.615
I 0.250 0.750 0.500
I 0.500 0.500 0.000



(4)
First-principles (PBE-GGA) data for YTc2HgI after structural relaxation, as listed in the Alexandria database.

Computed properties:
**Mass density**: 6.8 g/cm3
**E_tot**: -21.029 eV for the cell shown
**Energy relative to the elements, uncorrected**: 1.60 eV per atom
**Magnetization**: 5.2 Bohr magnetons per cell

abc: 5.130 5.130 5.673
angles: 90.00 90.00 90.00
Fractional positions:
Y 0.000 0.000 0.000
Tc 0.000 0.500 0.500
Tc 0.500 0.000 0.500
Hg 0.500 0.500 0.500
I 0.500 0.500 0.000



(5)
First-principles (PBE-GGA) data for HgTeI3 after structural relaxation, as listed in the Alexandria database.

Computed properties:
**Mass density**: 4.5 g/cm3
**E_tot**: -17.587 eV for the cell shown
**Distance to the lowest polymorph of the same formula**: 0.000 eV/atom
**Energy relative to the elements, uncorrected**: -0.14 eV per atom
**Magnetization**: 0.0 Bohr magnetons per cell

abc: 4.427 9.920 12.872
angles: 68.47 83.71 87.75
Fractional positions:
Hg 0.036 0.145 0.353
Hg 0.964 0.855 0.647
Te 0.219 0.918 0.071
Te 0.781 0.082 0.929
I 0.035 0.832 0.431
I 0.117 0.343 0.863
I 0.430 0.724 0.790
I 0.570 0.276 0.210
I 0.883 0.657 0.137
I 0.965 0.168 0.569



(6)
First-principles (PBE-GGA) data for HgTe2I8 after structural relaxation, as listed in the Alexandria database.

Computed properties:
**Mass density**: 4.6 g/cm3
**E_tot**: -19.106 eV for the cell shown
**Energy relative to the elements, uncorrected**: -0.01 eV per atom
**Magnetization**: 0.0 Bohr magnetons per cell

abc: 9.062 9.062 8.002
angles: 106.05 106.05 58.33
Fractional positions:
Hg 0.000 0.000 0.000
Te 0.137 0.137 0.560
Te 0.863 0.863 0.440
I 0.191 0.726 0.219
I 0.220 0.220 0.299
I 0.274 0.809 0.781
I 0.290 0.290 0.838
I 0.710 0.710 0.162
I 0.726 0.191 0.219
I 0.780 0.780 0.701
I 0.809 0.274 0.781



(7)
First-principles (PBE-GGA) data for Hg2TeI3 after structural relaxation, as listed in the Alexandria database.

Computed properties:
**Mass density**: 5.5 g/cm3
**E_tot**: -36.915 eV for the cell shown
**Energy relative to the elements, uncorrected**: -0.14 eV per atom
**Magnetization**: 0.0 Bohr magnetons per cell

abc: 8.371 12.461 11.385
angles: 90.00 112.51 90.00
Fractional positions:
Hg 0.068 0.090 0.061
Hg 0.068 0.410 0.561
Hg 0.421 0.160 0.451
Hg 0.421 0.340 0.951
Hg 0.579 0.660 0.049
Hg 0.579 0.840 0.549
Hg 0.932 0.590 0.439
Hg 0.932 0.910 0.939
Te 0.478 0.634 0.540
Te 0.478 0.866 0.040
Te 0.522 0.134 0.960
Te 0.522 0.366 0.460
I 0.184 0.204 0.637
I 0.184 0.296 0.137
I 0.248 0.632 0.290
I 0.248 0.868 0.790
I 0.259 0.530 0.848
I 0.259 0.970 0.348
I 0.741 0.030 0.652
I 0.741 0.470 0.152
I 0.752 0.132 0.210
I 0.752 0.368 0.710
I 0.816 0.704 0.863
I 0.816 0.796 0.363



(8)
First-principles (PBE-GGA) data for Hg3TeI4 after structural relaxation, as listed in the Alexandria database.

Computed properties:
**Mass density**: 5.8 g/cm3
**E_tot**: -24.515 eV for the cell shown
**Energy relative to the elements, uncorrected**: -0.25 eV per atom
**Magnetization**: 0.0 Bohr magnetons per cell

abc: 9.039 9.039 12.650
angles: 113.18 113.18 49.95
Fractional positions:
Hg 0.086 0.914 0.500
Hg 0.150 0.415 0.433
Hg 0.415 0.150 0.933
Hg 0.637 0.972 0.672
Hg 0.914 0.086 0.000
Hg 0.972 0.637 0.172
Te 0.290 0.559 0.361
Te 0.559 0.290 0.861
I 0.000 0.412 0.939
I 0.039 0.627 0.661
I 0.271 0.802 0.091
I 0.412 0.000 0.439
I 0.455 0.823 0.739
I 0.627 0.039 0.161
I 0.802 0.271 0.591
I 0.823 0.455 0.239



(9)
First-principles (PBE-GGA) data for HgTeI6 after structural relaxation, as listed in the Alexandria database.

Computed properties:
**Mass density**: 5.4 g/cm3
**E_tot**: -13.383 eV for the cell shown
**Distance to the lowest polymorph of the same formula**: 0.013 eV/atom
**Energy relative to the elements, uncorrected**: -0.08 eV per atom
**Magnetization**: 0.0 Bohr magnetons per cell

abc: 8.053 8.053 8.053
angles: 56.22 56.22 56.22
Fractional positions:
Hg 0.000 0.000 0.000
Te 0.500 0.500 0.500
I 0.090 0.744 0.417
I 0.256 0.583 0.910
I 0.417 0.090 0.744
I 0.583 0.910 0.256
I 0.744 0.417 0.090
I 0.910 0.256 0.583



(10)
First-principles (PBE-GGA) data for HgTe2I after structural relaxation, as listed in the Alexandria database.

Computed properties:
**Mass density**: 8.3 g/cm3
**E_tot**: -6.443 eV for the cell shown
**Distance to the lowest polymorph of the same formula**: 0.329 eV/atom
**Energy relative to the elements, uncorrected**: 0.42 eV per atom
**Magnetization**: 0.0 Bohr magnetons per cell

abc: 5.493 5.493 5.493
angles: 60.00 60.00 60.00
Fractional positions:
Hg 0.000 0.000 0.000
Te 0.250 0.250 0.250
Te 0.750 0.750 0.750
I 0.500 0.500 0.500